(1)
Density functional theory data (PBE-GGA) for a geometry-optimized Th5TlIn2 structure.

Cell and atoms, written as CIF:
```
data_Th5TlIn2
_chemical_formula_sum 'Th20 Tl4 In8'
_space_group_name_H-M_alt 'I 4/m c m'
_space_group_IT_number 140
_space_group_name_Hall '-I 4 2c'
_cell_length_a 8.309
_cell_length_b 8.309
_cell_length_c 14.197
_cell_angle_alpha 90.00
_cell_angle_beta 90.00
_cell_angle_gamma 90.00
loop_
_atom_site_label
_atom_site_type_symbol
_atom_site_fract_x
_atom_site_fract_y
_atom_site_fract_z
Th1 Th 0.000 0.000 0.000
Th2 Th 0.165 0.335 0.157
Tl1 Tl 0.000 0.000 0.250
In1 In 0.129 0.371 0.500
```

Computed properties:
* DOS(E_F): 1.309 states/eV/atom
* ΔE_f: -0.917 eV/f.u.
* calculated volume: 30.628 A^3/atom
* uncorrected energy: -5.732 eV/atom

=====

(2)
Density functional theory data (PBE-GGA) for a geometry-optimized Th6TlIn5 structure.

Cell and atoms, written as CIF:
```
data_Th6TlIn5
_chemical_formula_sum 'Th12 Tl2 In10'
_space_group_name_H-M_alt 'I m m m'
_space_group_IT_number 71
_space_group_name_Hall '-I 2 2'
_cell_length_a 4.955
_cell_length_b 9.318
_cell_length_c 14.902
_cell_angle_alpha 90.00
_cell_angle_beta 90.00
_cell_angle_gamma 90.00
loop_
_atom_site_label
_atom_site_type_symbol
_atom_site_fract_x
_atom_site_fract_y
_atom_site_fract_z
Th1 Th 0.000 0.249 0.000
Th2 Th 0.000 0.251 0.333
Tl1 Tl 0.000 0.000 0.500
In1 In 0.000 0.000 0.167
In2 In 0.000 0.500 0.168
In3 In 0.000 0.500 0.500
```

Computed properties:
* DOS(E_F): 1.077 states/eV/atom
* ΔE_f: -3.167 eV/f.u.
* calculated volume: 28.671 A^3/atom
* uncorrected energy: -5.312 eV/atom

=====

(3)
Density functional theory data (PBE-GGA) for a geometry-optimized YThTlIn structure.

Cell and atoms, written as CIF:
```
data_YThTlIn
_chemical_formula_sum 'Y4 Th4 Tl4 In4'
_space_group_name_H-M_alt 'F -4 3 m'
_space_group_IT_number 216
_space_group_name_Hall 'F -4 2 3'
_cell_length_a 7.696
_cell_length_b 7.696
_cell_length_c 7.696
_cell_angle_alpha 90.00
_cell_angle_beta 90.00
_cell_angle_gamma 90.00
loop_
_atom_site_label
_atom_site_type_symbol
_atom_site_fract_x
_atom_site_fract_y
_atom_site_fract_z
Y1 Y 0.000 0.000 0.000
Th1 Th 0.000 0.000 0.500
Tl1 Tl 0.250 0.250 0.250
In1 In 0.250 0.250 0.750
```

Computed properties:
* energy above the lowest structure with this stoichiometry: 23 meV/atom
* DOS(E_F): 0.963 states/eV/atom
* ΔE_f: -1.045 eV/f.u.
* calculated volume: 28.487 A^3/atom
* uncorrected energy: -5.008 eV/atom

=====

(4)
Density functional theory data (PBE-GGA) for a geometry-optimized YThTlIn structure.

Cell and atoms, written as CIF:
```
data_YThTlIn
_chemical_formula_sum 'Y1 Th1 Tl1 In1'
_space_group_name_H-M_alt 'P m m m'
_space_group_IT_number 47
_cell_length_a 4.507
_cell_length_b 4.996
_cell_length_c 5.026
_cell_angle_alpha 90.00
_cell_angle_beta 90.00
_cell_angle_gamma 90.00
loop_
_space_group_symop_operation_xyz
'x,y,z'
'-x,-y,-z'
'-x,-y,z'
'x,y,-z'
'x,-y,-z'
'-x,y,z'
'-x,y,-z'
'x,-y,z'
loop_
_atom_site_label
_atom_site_type_symbol
_atom_site_fract_x
_atom_site_fract_y
_atom_site_fract_z
Y1 Y 0.000 0.000 0.000
Th1 Th 0.000 0.500 0.500
Tl1 Tl 0.500 0.500 0.000
In1 In 0.500 0.000 0.500
```

Computed properties:
* energy above the lowest structure with this stoichiometry: 0 meV/atom
* DOS(E_F): 0.981 states/eV/atom
* ΔE_f: -1.136 eV/f.u.
* calculated volume: 28.288 A^3/atom
* uncorrected energy: -5.031 eV/atom

=====

(5)
Density functional theory data (PBE-GGA) for a geometry-optimized TmTh2In structure.

Cell and atoms, written as CIF:
```
data_TmTh2In
_chemical_formula_sum 'Tm1 Th2 In1'
_space_group_name_H-M_alt 'P 4/m m m'
_space_group_IT_number 123
_space_group_name_Hall '-P 4 2'
_cell_length_a 4.206
_cell_length_b 4.206
_cell_length_c 6.889
_cell_angle_alpha 90.00
_cell_angle_beta 90.00
_cell_angle_gamma 90.00
loop_
_atom_site_label
_atom_site_type_symbol
_atom_site_fract_x
_atom_site_fract_y
_atom_site_fract_z
Tm1 Tm 0.000 0.000 0.000
Th1 Th 0.500 0.500 0.264
In1 In 0.000 0.000 0.500
```

Computed properties:
* energy above the lowest structure with this stoichiometry: 125 meV/atom
* DOS(E_F): 1.484 states/eV/atom
* ΔE_f: -0.235 eV/f.u.
* calculated volume: 30.463 A^3/atom
* uncorrected energy: -5.571 eV/atom

=====

(6)
Density functional theory data (PBE-GGA) for a geometry-optimized TmThIn structure.

Cell and atoms, written as CIF:
```
data_TmThIn
_chemical_formula_sum 'Tm2 Th2 In2'
_space_group_name_H-M_alt 'P 63/m m c'
_space_group_IT_number 194
_space_group_name_Hall '-P 6c 2c'
_cell_length_a 5.4478
_cell_length_b 5.4478
_cell_length_c 6.6374
_cell_angle_alpha 90.00
_cell_angle_beta 90.00
_cell_angle_gamma 120.00
loop_
_atom_site_label
_atom_site_type_symbol
_atom_site_fract_x
_atom_site_fract_y
_atom_site_fract_z
Tm1 Tm 0.3333 0.6667 0.2500
Th1 Th 0.0000 0.0000 0.0000
In1 In 0.3333 0.6667 0.7500
```

Computed properties:
* energy above the lowest structure with this stoichiometry: 0 meV/atom
* DOS(E_F): 1.281 states/eV/atom
* ΔE_f: -0.800 eV/f.u.
* calculated volume: 28.435 A^3/atom
* uncorrected energy: -5.143 eV/atom

=====

(7)
Density functional theory data (PBE-GGA) for a geometry-optimized TmTh2In structure.

Cell and atoms, written as CIF:
```
data_TmTh2In
_chemical_formula_sum 'Tm1 Th2 In1'
_space_group_name_H-M_alt 'P 4/m m m'
_space_group_IT_number 123
_space_group_name_Hall '-P 4 2'
_cell_length_a 4.816
_cell_length_b 4.816
_cell_length_c 5.046
_cell_angle_alpha 90.00
_cell_angle_beta 90.00
_cell_angle_gamma 90.00
loop_
_atom_site_label
_atom_site_type_symbol
_atom_site_fract_x
_atom_site_fract_y
_atom_site_fract_z
Tm1 Tm 0.000 0.000 0.000
Th1 Th 0.000 0.500 0.500
In1 In 0.500 0.500 0.000
```

Computed properties:
* energy above the lowest structure with this stoichiometry: 0 meV/atom
* DOS(E_F): 1.198 states/eV/atom
* ΔE_f: -0.736 eV/f.u.
* calculated volume: 29.255 A^3/atom
* uncorrected energy: -5.696 eV/atom

=====

(8)
Density functional theory data (PBE-GGA) for a geometry-optimized Tm2Th2In3 structure.

Cell and atoms, written as CIF:
```
data_Tm2Th2In3
_chemical_formula_sum 'Tm4 Th4 In6'
_space_group_name_H-M_alt 'C m m m'
_space_group_IT_number 65
_space_group_name_Hall '-C 2 2'
_cell_length_a 4.669
_cell_length_b 24.630
_cell_length_c 3.423
_cell_angle_alpha 90.00
_cell_angle_beta 90.00
_cell_angle_gamma 90.00
loop_
_atom_site_label
_atom_site_type_symbol
_atom_site_fract_x
_atom_site_fract_y
_atom_site_fract_z
Tm1 Tm 0.000 0.204 0.000
Th1 Th 0.000 0.072 0.000
In1 In 0.000 0.348 0.500
In2 In 0.000 0.500 0.500
```

Computed properties:
* energy above the lowest structure with this stoichiometry: 0 meV/atom
* DOS(E_F): 0.852 states/eV/atom
* ΔE_f: -1.432 eV/f.u.
* calculated volume: 28.115 A^3/atom
* uncorrected energy: -4.776 eV/atom

=====

(9)
Density functional theory data (PBE-GGA) for a geometry-optimized TmTh12In3 structure.

Cell and atoms, written as CIF:
```
data_TmTh12In3
_chemical_formula_sum 'Tm1 Th12 In3'
_space_group_name_H-M_alt 'P 4/m m m'
_space_group_IT_number 123
_space_group_name_Hall '-P 4 2'
_cell_length_a 4.965
_cell_length_b 4.965
_cell_length_c 20.001
_cell_angle_alpha 90.00
_cell_angle_beta 90.00
_cell_angle_gamma 90.00
loop_
_atom_site_label
_atom_site_type_symbol
_atom_site_fract_x
_atom_site_fract_y
_atom_site_fract_z
Tm1 Tm 0.000 0.000 0.000
Th1 Th 0.000 0.500 0.128
Th2 Th 0.000 0.500 0.376
Th3 Th 0.500 0.500 0.000
Th4 Th 0.500 0.500 0.252
Th5 Th 0.500 0.500 0.500
In1 In 0.000 0.000 0.253
In2 In 0.000 0.000 0.500
```

Computed properties:
* DOS(E_F): 1.351 states/eV/atom
* ΔE_f: -1.449 eV/f.u.
* calculated volume: 30.816 A^3/atom
* uncorrected energy: -6.448 eV/atom

=====

(10)
Density functional theory data (PBE-GGA) for a geometry-optimized Tm6ThIn3 structure.

Cell and atoms, written as CIF:
```
data_Tm6ThIn3
_chemical_formula_sum 'Tm12 Th2 In6'
_space_group_name_H-M_alt 'P 1 21/m 1'
_space_group_IT_number 11
_cell_length_a 9.910
_cell_length_b 5.109
_cell_length_c 11.151
_cell_angle_alpha 90.00
_cell_angle_beta 100.25
_cell_angle_gamma 90.00
loop_
_space_group_symop_operation_xyz
'x,y,z'
'-x,-y,-z'
'-x,y+1/2,-z'
'x,-y+1/2,z'
loop_
_atom_site_label
_atom_site_type_symbol
_atom_site_fract_x
_atom_site_fract_y
_atom_site_fract_z
Tm1 Tm 0.052 0.250 0.406
Tm2 Tm 0.141 0.750 0.188
Tm3 Tm 0.228 0.250 0.985
Tm4 Tm 0.322 0.750 0.783
Tm5 Tm 0.360 0.250 0.280
Tm6 Tm 0.427 0.250 0.594
Th1 Th 0.454 0.750 0.095
In1 In 0.042 0.750 0.889
In2 In 0.139 0.250 0.694
In3 In 0.261 0.750 0.470
```

Computed properties:
* DOS(E_F): 1.101 states/eV/atom
* ΔE_f: -2.648 eV/f.u.
* calculated volume: 27.781 A^3/atom
* uncorrected energy: -4.511 eV/atom

=====

(11)
Density functional theory data (PBE-GGA) for a geometry-optimized Tm5ThIn6 structure.

Cell and atoms, written as CIF:
```
data_Tm5ThIn6
_chemical_formula_sum 'Tm10 Th2 In12'
_space_group_name_H-M_alt 'I m m m'
_space_group_IT_number 71
_space_group_name_Hall '-I 2 2'
_cell_length_a 5.342
_cell_length_b 7.382
_cell_length_c 16.020
_cell_angle_alpha 90.00
_cell_angle_beta 90.00
_cell_angle_gamma 90.00
loop_
_atom_site_label
_atom_site_type_symbol
_atom_site_fract_x
_atom_site_fract_y
_atom_site_fract_z
Tm1 Tm 0.000 0.000 0.000
Tm2 Tm 0.000 0.000 0.341
Tm3 Tm 0.000 0.500 0.330
Th1 Th 0.000 0.500 0.000
In1 In 0.000 0.241 0.172
In2 In 0.000 0.270 0.500
```

Computed properties:
* DOS(E_F): 0.527 states/eV/atom
* ΔE_f: -4.628 eV/f.u.
* calculated volume: 26.322 A^3/atom
* uncorrected energy: -4.236 eV/atom

=====

(12)
Density functional theory data (PBE-GGA) for a geometry-optimized Tm8ThIn2 structure.

Cell and atoms, written as CIF:
```
data_Tm8ThIn2
_chemical_formula_sum 'Tm16 Th2 In4'
_space_group_name_H-M_alt 'C 1 2/m 1'
_space_group_IT_number 12
_cell_length_a 8.715
_cell_length_b 14.979
_cell_length_c 5.523
_cell_angle_alpha 90.00
_cell_angle_beta 113.38
_cell_angle_gamma 90.00
loop_
_space_group_symop_operation_xyz
'x,y,z'
'-x,-y,-z'
'-x,y,-z'
'x,-y,z'
'x+1/2,y+1/2,z'
'-x+1/2,-y+1/2,-z'
'-x+1/2,y+1/2,-z'
'x+1/2,-y+1/2,z'
loop_
_atom_site_label
_atom_site_type_symbol
_atom_site_fract_x
_atom_site_fract_y
_atom_site_fract_z
Tm1 Tm 0.000 0.221 0.000
Tm2 Tm 0.093 0.500 0.794
Tm3 Tm 0.205 0.113 0.623
Th1 Th 0.000 0.000 0.000
In1 In 0.000 0.308 0.500
```

Computed properties:
* DOS(E_F): 1.162 states/eV/atom
* ΔE_f: -0.290 eV/f.u.
* calculated volume: 30.083 A^3/atom
* uncorrected energy: -4.451 eV/atom